1.
VASP calculation (GGA-PBE) on a geometry-optimized CaAc2In6Ni structure.

a = 6.504 Å, b = 7.071 Å, c = 7.071 Å
α = 120.00°, β = 90.00°, γ = 90.00°
Sites, in units of the cell vectors:
Ca 0.500 0.000 0.000
Ac 0.342 0.333 0.667
Ac 0.658 0.667 0.333
In 0.825 0.191 0.383
In 0.825 0.191 0.809
In 0.825 0.617 0.809
In 0.175 0.809 0.191
In 0.175 0.383 0.191
In 0.175 0.809 0.617
Ni 0.000 0.000 0.000

Values from the calculation:
Formation energy from the elements = -0.4082 eV/atom

---

2.
VASP calculation (GGA-PBE) on a geometry-optimized Ac2Tb2Pm7 structure.

a = 6.348 Å, b = 8.288 Å, c = 8.288 Å
α = 91.92°, β = 73.74°, γ = 73.74°
Sites, in units of the cell vectors:
Ac 0.816 0.400 0.400
Ac 0.184 0.600 0.600
Tb 0.500 0.213 0.787
Tb 0.500 0.787 0.213
Pm 0.184 0.068 0.582
Pm 0.816 0.418 0.932
Pm 0.816 0.932 0.418
Pm 0.184 0.582 0.068
Pm 0.000 0.000 0.000
Pm 0.566 0.777 0.777
Pm 0.434 0.223 0.223

Values from the calculation:
Formation energy from the elements = 0.1336 eV/atom

---

3.
VASP calculation (GGA-PBE) on a geometry-optimized CrOsSe2 structure.

a = 2.926 Å, b = 2.926 Å, c = 8.186 Å
α = 90.00°, β = 90.00°, γ = 90.01°
Sites, in units of the cell vectors:
Cr 0.000 0.000 0.506
Os 0.500 0.500 0.735
Se 0.000 0.000 0.919
Se 0.500 0.500 0.339

Values from the calculation:
E_form (uncorrected) = 0.10 eV per atom

---

Magnetization, record by record: 0.00; 0.00; 0.00 μB/f.u.